No. 1
Material: U3Mo
Method: DFT, PBE-GGA
State: relaxed

Values from the calculation:
The total energy is -10.9765 eV/atom. As for the volume: 19.47 A^3/atom. For the formation energy, the calculation gives 197 meV per atom. The calculation puts the density of states at the Fermi level at 9.48 states/eV/cell. The relative energy among the computed polymorphs is 0.00 kcal/mol of atoms. As for the crystal system: orthorhombic. The space group is Imm2, No. 44.

POSCAR file:
```
U3Mo
1.0
2.800 0.000 0.000
0.000 5.464 0.000
-1.400 -2.732 5.091
Mo U
1 3
direct
0.000 0.073 0.000
0.264 0.530 0.528
0.500 0.561 0.000
0.736 0.002 0.472
```

=====

No. 2
Material: UV4Mo
Method: DFT, PBE-GGA
State: relaxed

Values from the calculation:
The total energy is -9.5438 eV/atom. As for the volume: 15.45 A^3/atom. For the formation energy, the calculation gives 222 meV per atom. The calculation puts the density of states at the Fermi level at 8.73 states/eV/cell. As for the crystal system: cubic. The space group is F-43m, No. 216.

POSCAR file:
```
UV4Mo
1.0
-1.339 -4.709 -1.355
3.496 -3.215 -1.802
1.486 -3.968 2.802
V Mo U
4 1 1
direct
0.123 0.626 0.626
0.626 0.123 0.626
0.626 0.626 0.626
0.626 0.626 0.123
0.250 0.250 0.250
0.000 0.000 0.000
```